1.
CrP2RhO (PBE+U, relaxed); size of the total moment = 0.00 μB per formula unit; SG = No. 123; total DFT energy (no corrections) = -28.7 eV/f.u.
1.0
4.583 0.000 0.000
0.000 3.419 0.000
0.000 0.000 4.583
Cr Rh O P
1 1 1 2
Direct
0.000 0.000 0.000 Cr
0.500 0.500 0.500 Rh
0.000 0.500 0.000 O
0.000 0.000 0.500 P
0.500 0.000 0.000 P

2.
CrP2RhO (PBE+U, relaxed); size of the total moment = 0.05 μB per formula unit; SG = No. 123; total DFT energy (no corrections) = -26.2 eV/f.u.
1.0
-4.457 -0.157 -1.612
-1.457 -1.670 4.193
-0.543 3.409 1.169
Cr Rh O P
1 1 1 2
Direct
0.500 0.500 0.500 Cr
0.000 0.000 0.000 Rh
0.000 0.000 0.500 O
0.000 0.500 0.000 P
0.500 0.000 0.000 P

3.
CrP2RuO (PBE+U, relaxed); size of the total moment = 0.47 μB per formula unit; SG = No. 123; total DFT energy (no corrections) = -29.0 eV/f.u.
1.0
-2.236 2.566 3.355
3.320 -1.278 3.190
1.980 2.901 -0.899
Ru O P Cr
1 1 2 1
Direct
0.000 0.000 0.000 Ru
0.000 0.000 0.500 O
0.000 0.500 0.000 P
0.500 0.000 0.000 P
0.500 0.500 0.500 Cr

4.
CrPRu2O (PBE+U, relaxed); size of the total moment = 3.36 μB per formula unit; SG = No. 123; total DFT energy (no corrections) = -34.3 eV/f.u.
1.0
4.080 0.000 0.000
0.000 4.086 0.000
0.000 0.000 4.080
Ru O P Cr
2 1 1 1
Direct
0.000 0.000 0.500 Ru
0.500 0.000 0.000 Ru
0.000 0.000 0.000 O
0.000 0.500 0.000 P
0.500 0.500 0.500 Cr

5.
CrP2RuO (PBE+U, relaxed); size of the total moment = 2.72 μB per formula unit; SG = No. 123; total DFT energy (no corrections) = -30.4 eV/f.u.
1.0
4.692 0.000 0.000
0.000 4.692 0.000
0.000 0.000 3.418
Ru O P Cr
1 1 2 1
Direct
0.500 0.500 0.500 Ru
0.000 0.000 0.500 O
0.000 0.500 0.000 P
0.500 0.000 0.000 P
0.000 0.000 0.000 Cr

6.
CrSbP2O (PBE+U, relaxed); size of the total moment = 1.84 μB per formula unit; SG = No. 123; total DFT energy (no corrections) = -27.3 eV/f.u.
1.0
4.942 0.000 0.000
0.000 4.942 0.000
0.000 0.000 3.568
Sb O P Cr
1 1 2 1
Direct
0.500 0.500 0.500 Sb
0.000 0.000 0.500 O
0.000 0.500 0.000 P
0.500 0.000 0.000 P
0.000 0.000 0.000 Cr

7.
CrSbPO2 (PBE+U, relaxed); size of the total moment = 3.95 μB per formula unit; SG = No. 123; total DFT energy (no corrections) = -28.9 eV/f.u.
1.0
3.904 0.000 0.000
0.000 3.904 0.000
0.000 0.000 5.373
Sb O P Cr
1 2 1 1
Direct
0.000 0.000 0.000 Sb
0.000 0.500 0.000 O
0.500 0.000 0.000 O
0.000 0.000 0.500 P
0.500 0.500 0.500 Cr

8.
CrSbP2O8 (PBE+U, relaxed); size of the total moment = 2.96 μB per formula unit; SG = No. 11; total DFT energy (no corrections) = -85.4 eV/f.u.
1.0
10.989 -0.001 -0.224
0.000 5.914 0.000
-0.586 0.000 4.905
Cr Sb P O
2 2 4 16
Direct
0.200 0.750 0.449 Cr
0.800 0.250 0.551 Cr
0.268 0.250 0.982 Sb
0.732 0.750 0.018 Sb
0.074 0.250 0.391 P
0.376 0.750 0.920 P
0.624 0.250 0.080 P
0.926 0.750 0.609 P
0.066 0.750 0.675 O
0.111 0.250 0.705 O
0.132 0.041 0.259 O
0.132 0.459 0.259 O
0.309 0.951 0.736 O
0.309 0.549 0.736 O
0.333 0.750 0.202 O
0.488 0.250 0.078 O
0.512 0.750 0.922 O
0.667 0.250 0.798 O
0.691 0.049 0.264 O
0.691 0.451 0.264 O
0.868 0.541 0.741 O
0.868 0.959 0.741 O
0.889 0.750 0.295 O
0.934 0.250 0.325 O